1.
13
Lattice="4.6489 -4.6146 0.0000 4.6489 4.6146 0.0000 -0.0011 0.0000 7.6639" Properties=species:S:1:pos:R:3 comment="PuZr4Sc8 | Alexandria | GGA-PBE | relaxed" e_form_mev_per_atom=226 n_ef_per_ev_atom=1.382 total_energy_ev_per_cell=-96.2 pbc="T T T"
Pu 0.0000 0.0000 0.0000
Zr -0.0006 0.0000 3.8319
Zr 2.3239 2.3073 3.8319
Zr 2.3239 -2.3073 3.8319
Zr 4.6484 0.0000 3.8319
Sc 2.4065 0.0000 6.0125
Sc 2.4126 0.0000 1.6712
Sc 4.6421 2.2132 5.9998
Sc 4.6546 2.2132 1.6641
Sc 4.6421 -2.2132 5.9998
Sc 4.6546 -2.2132 1.6641
Sc 6.8841 0.0000 5.9927
Sc 6.8902 0.0000 1.6514

=====

2.
8
Lattice="-2.6243 2.6243 5.3155 2.6243 -2.6243 5.3155 2.6243 2.6243 -5.3155" Properties=species:S:1:pos:R:3 comment="AlCu3S4 | Alexandria | GGA-PBE | relaxed" n_ef_per_ev_atom=0.750 total_energy_ev_per_cell=-36.6 raw_formation_energy_ev_per_fu=-4.067 pbc="T T T"
Al 0.0000 0.0000 0.0000
Cu 2.6243 0.0000 2.6577
Cu 0.0000 0.0000 5.3155
Cu 0.0000 2.6243 2.6577
S 1.3117 1.3117 -1.3266
S 1.3126 -1.3126 6.6421
S 1.3126 1.3126 3.9889
S -1.3126 1.3126 6.6421

=====

3.
7
Lattice="2.0604 1.1896 11.0933 -2.0604 1.1896 11.0933 0.0000 -2.3792 11.0933" Properties=species:S:1:pos:R:3 comment="SmTh2Cu2Ge2 | Alexandria | GGA-PBE | relaxed" e_form_mev_per_atom=-427 n_ef_per_ev_atom=0.852 total_energy_ev_per_cell=-40.0 pbc="T T T"
Sm 0.0000 0.0000 0.0000
Th 0.0000 0.0000 4.1093
Th 0.0000 0.0000 29.1707
Cu 0.0000 0.0000 13.2901
Cu 0.0000 0.0000 19.9899
Ge 0.0000 0.0000 9.1053
Ge 0.0000 0.0000 24.1747